Crystalline CdP at its relaxed geometry. Source: Alexandria via LeMat-Bulk, functional GGA-PBE.

- Formation enthalpy at 0 K: 27.7 kJ per mole of atoms
- DOS at the Fermi energy: 0.728 states/eV/f.u.
- Energy above the most stable polymorph in this dataset: 0.657 eV per formula unit
- Symmetry: P-3m1
- Total moment: 0.0 Bohr magnetons per cell
- E_tot: -2.876 eV per atom
- Crystal system: trigonal

Lattice parameters (Å, degrees): 5.0917 5.0917 11.1847 90.00 90.00 120.00
Fractional coordinates of all 12 atoms:
P1 0.0000 0.0000 0.9046
P2 0.3333 0.6667 0.3340
P3 0.3333 0.6667 0.1397
P4 0.6667 0.3333 0.6660
P5 0.0000 0.0000 0.0954
P6 0.6667 0.3333 0.8603
Cd1 0.6667 0.3333 0.3953
Cd2 0.0000 0.0000 0.6378
Cd3 0.6667 0.3333 0.1167
Cd4 0.3333 0.6667 0.8833
Cd5 0.0000 0.0000 0.3622
Cd6 0.3333 0.6667 0.6047